A relaxed AcHo7Er3 crystal, computed with PBE.

Lattice parameters (Å, degrees): 6.966 5.562 9.795 90.00 108.26 90.00
Space group P2/m (No. 10)
Symmetry-distinct sites (fractional):
1 Ac 0.000 0.000 0.000 [1 per cell]
2 Ho 0.000 0.000 0.500 [1 per cell]
3 Ho 0.148 0.500 0.788 [2 per cell]
4 Ho 0.333 0.500 0.145 [2 per cell]
5 Ho 0.437 0.000 0.334 [2 per cell]
6 Er 0.274 0.500 0.492 [2 per cell]
7 Er 0.500 0.000 0.000 [1 per cell]

relative energy among the computed polymorphs: 0 meV per atom
energy relative to the elements: 0.15 eV/atom
total magnetization: 0.00 μB per cell

=====

A relaxed NbW3Br crystal, computed with PBE.

Lattice parameters (Å, degrees): 4.866 4.866 4.866 90.00 90.00 90.00
Space group Pm-3m (No. 221)
Symmetry-distinct sites (fractional):
1 Nb 0.000 0.000 0.000 [1 per cell]
2 W 0.000 0.000 0.500 [3 per cell]
3 Br 0.500 0.500 0.500 [1 per cell]

relative energy among the computed polymorphs: 560 meV per atom
energy relative to the elements, uncorrected: 2.60 eV/atom
total magnetization: 0.00 μB per cell